No. 1
A geometry-optimized SrNd2Hf structure, computed with PBE.

## Properties
- Symmetry: R-3m, No. 166
- E_tot: -18.96 eV/cell
- Formation enthalpy at 0 K: 0.5529 eV/atom

abc: 3.455 3.455 13.038
angles: 82.39 82.39 60.00
Element x y z (fractional)
Hf 0.000 0.000 0.000
Nd 0.921 0.921 0.238
Nd 0.079 0.079 0.762
Sr 0.500 0.500 0.500


No. 2
A geometry-optimized NdHf2Ta structure, computed with PBE.

## Properties
- Symmetry: P4/mmm, No. 123
- E_tot: -35.75 eV/cell
- Energy relative to the lowest polymorph listed for this composition: 0 kJ/mol of formula units
- Formation enthalpy at 0 K: 0.1931 eV/atom

abc: 3.511 3.511 7.801
angles: 90.00 90.00 90.00
Element x y z (fractional)
Hf 0.000 0.000 0.800
Nd 0.500 0.500 0.500
Hf 0.000 0.000 0.200
Ta 0.500 0.500 0.000


No. 3
A geometry-optimized NdHf2Ta structure, computed with PBE.

## Properties
- Symmetry: R-3m, No. 166
- E_tot: -35.12 eV/cell
- Energy relative to the lowest polymorph listed for this composition: 61 kJ/mol of formula units
- Formation enthalpy at 0 K: 0.3514 eV/atom

abc: 3.165 3.165 11.285
angles: 81.94 81.94 60.00
Element x y z (fractional)
Hf 0.096 0.096 0.712
Nd 0.000 0.000 0.000
Hf 0.904 0.904 0.288
Ta 0.500 0.500 0.500


No. 4
A geometry-optimized TbNd2Hf structure, computed with PBE.

## Properties
- Symmetry: R3m, No. 160
- E_tot: -23.45 eV/cell
- Energy relative to the lowest polymorph listed for this composition: 0 kJ/mol of formula units
- Formation enthalpy at 0 K: 0.1674 eV/atom

abc: 3.493 3.493 11.633
angles: 81.36 81.36 60.00
Element x y z (fractional)
Hf 0.667 0.667 0.999
Nd 0.256 0.256 0.233
Tb 0.499 0.499 0.503
Nd 0.078 0.078 0.766


The highest E_tot belongs to which entry? SrNd2Hf